Record 1
BaInSnHg2: relaxed, PBE.

Results
energy relative to the lowest polymorph listed for this composition = 0.007 eV per atom

CIF file:
```
data_BaInSnHg2
_cell_length_a 4.810
_cell_length_b 4.810
_cell_length_c 12.757
_cell_angle_alpha 90.00
_cell_angle_beta 90.00
_cell_angle_gamma 90.00
_space_group_name_H-M_alt 'I -4 m 2'
_space_group_IT_number 119
_space_group_name_Hall 'I -4 -2'
loop_
_atom_site_label
_atom_site_fract_x
_atom_site_fract_y
_atom_site_fract_z
Ba1 0.000 0.000 0.000
In1 0.000 0.500 0.250
Sn1 0.000 0.500 0.750
Hg1 0.000 0.000 0.388
```

Record 2
BaTlIn2Hg: relaxed, PBE.

Results
total energy = -11.7 eV/f.u.

CIF file:
```
data_BaTlIn2Hg
_cell_length_a 4.893
_cell_length_b 4.893
_cell_length_c 12.761
_cell_angle_alpha 90.00
_cell_angle_beta 90.00
_cell_angle_gamma 90.00
_space_group_name_H-M_alt 'I 4 m m'
_space_group_IT_number 107
_space_group_name_Hall 'I 4 -2'
loop_
_atom_site_label
_atom_site_fract_x
_atom_site_fract_y
_atom_site_fract_z
Ba1 0.000 0.000 0.000
Tl1 0.000 0.000 0.387
In1 0.000 0.500 0.244
Hg1 0.000 0.000 0.614
```

Record 3
Ba2HgIr: relaxed, PBE.

Results
magnetization = 0.0 μB/cell
total energy = -12.5 eV/f.u.

CIF file:
```
data_Ba2HgIr
_cell_length_a 7.620
_cell_length_b 7.620
_cell_length_c 7.620
_cell_angle_alpha 90.00
_cell_angle_beta 90.00
_cell_angle_gamma 90.00
_space_group_name_H-M_alt 'F -4 3 m'
_space_group_IT_number 216
_space_group_name_Hall 'F -4 2 3'
loop_
_atom_site_label
_atom_site_fract_x
_atom_site_fract_y
_atom_site_fract_z
Ba1 0.000 0.000 0.000
Ba2 0.250 0.250 0.250
Hg1 0.250 0.250 0.750
Ir1 0.000 0.000 0.500
```

Record 4
KBaHg6: relaxed, PBE.

Results
total energy = -7.4 eV/f.u.

CIF file:
```
data_KBaHg6
_cell_length_a 7.2945
_cell_length_b 7.2945
_cell_length_c 5.4818
_cell_angle_alpha 90.00
_cell_angle_beta 90.00
_cell_angle_gamma 120.00
_space_group_name_H-M_alt 'P -6 m 2'
_space_group_IT_number 187
_space_group_name_Hall 'P -6 2'
loop_
_atom_site_label
_atom_site_fract_x
_atom_site_fract_y
_atom_site_fract_z
K1 0.0000 0.0000 0.0000
Ba1 0.6667 0.3333 0.5000
Hg1 0.0336 0.5168 0.0000
Hg2 0.1791 0.3582 0.5000
```

Record 5
KBaHg4: relaxed, PBE.

Results
total energy = -6.5 eV/f.u.

CIF file:
```
data_KBaHg4
_cell_length_a 5.436
_cell_length_b 8.223
_cell_length_c 8.896
_cell_angle_alpha 90.00
_cell_angle_beta 90.00
_cell_angle_gamma 90.00
_space_group_name_H-M_alt 'I m m 2'
_space_group_IT_number 44
loop_
_space_group_symop_operation_xyz
'x,y,z'
'-x,-y,z'
'-x,y,z'
'x,-y,z'
'x+1/2,y+1/2,z+1/2'
'-x+1/2,-y+1/2,z+1/2'
'-x+1/2,y+1/2,z+1/2'
'x+1/2,-y+1/2,z+1/2'
loop_
_atom_site_label
_atom_site_fract_x
_atom_site_fract_y
_atom_site_fract_z
K1 0.000 0.000 0.000
Ba1 0.000 0.500 0.092
Hg1 0.000 0.191 0.382
Hg2 0.000 0.302 0.713
```

Record 6
K2Ba2Hg3: relaxed, PBE.

Results
total energy = -8.9 eV/f.u.

CIF file:
```
data_K2Ba2Hg3
_cell_length_a 5.9270
_cell_length_b 5.9270
_cell_length_c 28.8683
_cell_angle_alpha 90.00
_cell_angle_beta 90.00
_cell_angle_gamma 120.00
_space_group_name_H-M_alt 'R 3 m'
_space_group_IT_number 160
_space_group_name_Hall 'R 3 -2"'
loop_
_atom_site_label
_atom_site_fract_x
_atom_site_fract_y
_atom_site_fract_z
K1 0.0000 0.0000 0.0000
K2 0.0000 0.0000 0.5001
Ba1 0.0000 0.0000 0.2493
Ba2 0.0000 0.0000 0.7509
Hg1 0.0000 0.0000 0.1249
Hg2 0.0000 0.0000 0.3750
Hg3 0.0000 0.0000 0.8758
```